[1]
# Tb5Mg5Ag2 | Alexandria via LeMat-Bulk | GGA-PBE | relaxed
# D(E_F): 19.707 states/eV per cell
# uncorrected energy: -3.14 eV/atom
data_Tb5Mg5Ag2
_chemical_formula_sum 'Tb10 Mg10 Ag4'
_cell_length_a 9.1900
_cell_length_b 5.3046
_cell_length_c 13.3908
_cell_angle_alpha 90.00
_cell_angle_beta 103.29
_cell_angle_gamma 90.00
_symmetry_space_group_name_H-M 'C 1 2/m 1'
_symmetry_Int_Tables_number 12
loop_
_symmetry_equiv_pos_as_xyz
'x,y,z'
'-x,-y,-z'
'-x,y,-z'
'x,-y,z'
'x+1/2,y+1/2,z'
'-x+1/2,-y+1/2,-z'
'-x+1/2,y+1/2,-z'
'x+1/2,-y+1/2,z'
loop_
_atom_site_label
_atom_site_type_symbol
_atom_site_fract_x
_atom_site_fract_y
_atom_site_fract_z
Tb1 Tb 0.0000 0.0000 0.0000
Tb2 Tb 0.0998 0.5000 0.7992
Tb3 Tb 0.1420 0.0000 0.4263
Mg1 Mg 0.0000 0.5000 0.5000
Mg2 Mg 0.1925 0.5000 0.0766
Mg3 Mg 0.2270 0.0000 0.6816
Ag1 Ag 0.0709 0.0000 0.2128



[2]
# TbMg6Ag2 | Alexandria via LeMat-Bulk | GGA-PBE | relaxed
# D(E_F): 10.698 states/eV per cell
# uncorrected energy: -2.28 eV/atom
data_TbMg6Ag2
_chemical_formula_sum 'Tb2 Mg12 Ag4'
_cell_length_a 10.3197
_cell_length_b 9.1777
_cell_length_c 4.9051
_cell_angle_alpha 90.00
_cell_angle_beta 117.05
_cell_angle_gamma 90.00
_symmetry_space_group_name_H-M 'C 1 2/m 1'
_symmetry_Int_Tables_number 12
loop_
_symmetry_equiv_pos_as_xyz
'x,y,z'
'-x,-y,-z'
'-x,y,-z'
'x,-y,z'
'x+1/2,y+1/2,z'
'-x+1/2,-y+1/2,-z'
'-x+1/2,y+1/2,-z'
'x+1/2,-y+1/2,z'
loop_
_atom_site_label
_atom_site_type_symbol
_atom_site_fract_x
_atom_site_fract_y
_atom_site_fract_z
Tb1 Tb 0.0000 0.0000 0.0000
Mg1 Mg 0.0000 0.2462 0.5000
Mg2 Mg 0.1832 0.3326 0.1833
Ag1 Ag 0.1742 0.5000 0.6759



[3]
# Tb2MgAg | Alexandria via LeMat-Bulk | GGA-PBE | relaxed
# D(E_F): 3.907 states/eV per cell
# uncorrected energy: -3.62 eV/atom
data_Tb2MgAg
_chemical_formula_sum 'Tb2 Mg1 Ag1'
_cell_length_a 3.7420
_cell_length_b 3.7420
_cell_length_c 7.3251
_cell_angle_alpha 90.00
_cell_angle_beta 90.00
_cell_angle_gamma 90.00
_symmetry_space_group_name_H-M 'P 4/m m m'
_symmetry_Int_Tables_number 123
_symmetry_space_group_name_Hall '-P 4 2'
loop_
_atom_site_label
_atom_site_type_symbol
_atom_site_fract_x
_atom_site_fract_y
_atom_site_fract_z
Tb1 Tb 0.0000 0.0000 0.2417
Mg1 Mg 0.5000 0.5000 0.5000
Ag1 Ag 0.5000 0.5000 0.0000



[4]
# TbMgAg | Alexandria via LeMat-Bulk | GGA-PBE | relaxed
# D(E_F): 2.416 states/eV per cell
# uncorrected energy: -3.20 eV/atom
data_TbMgAg
_chemical_formula_sum 'Tb1 Mg1 Ag1'
_cell_length_a 4.9018
_cell_length_b 4.9018
_cell_length_c 3.4188
_cell_angle_alpha 90.00
_cell_angle_beta 90.00
_cell_angle_gamma 120.00
_symmetry_space_group_name_H-M 'P -6 m 2'
_symmetry_Int_Tables_number 187
_symmetry_space_group_name_Hall 'P -6 2'
loop_
_atom_site_label
_atom_site_type_symbol
_atom_site_fract_x
_atom_site_fract_y
_atom_site_fract_z
Tb1 Tb 0.0000 0.0000 0.0000
Mg1 Mg 0.6667 0.3333 0.5000
Ag1 Ag 0.3333 0.6667 0.5000



[5]
# TbMg2Ag2 | Alexandria via LeMat-Bulk | GGA-PBE | relaxed
# D(E_F): 6.683 states/eV per cell
# uncorrected energy: -2.90 eV/atom
data_TbMg2Ag2
_chemical_formula_sum 'Tb2 Mg4 Ag4'
_cell_length_a 5.8598
_cell_length_b 5.8610
_cell_length_c 7.1762
_cell_angle_alpha 90.00
_cell_angle_beta 113.87
_cell_angle_gamma 90.00
_symmetry_space_group_name_H-M 'C 1 2/m 1'
_symmetry_Int_Tables_number 12
loop_
_symmetry_equiv_pos_as_xyz
'x,y,z'
'-x,-y,-z'
'-x,y,-z'
'x,-y,z'
'x+1/2,y+1/2,z'
'-x+1/2,-y+1/2,-z'
'-x+1/2,y+1/2,-z'
'x+1/2,-y+1/2,z'
loop_
_atom_site_label
_atom_site_type_symbol
_atom_site_fract_x
_atom_site_fract_y
_atom_site_fract_z
Tb1 Tb 0.0000 0.0000 0.0000
Mg1 Mg 0.0000 0.2497 0.5000
Ag1 Ag 0.1045 0.5000 0.2090



[6]
# Tb4MgAg3 | Alexandria via LeMat-Bulk | GGA-PBE | relaxed
# D(E_F): 6.294 states/eV per cell
# uncorrected energy: -3.83 eV/atom
data_Tb4MgAg3
_chemical_formula_sum 'Tb4 Mg1 Ag3'
_cell_length_a 3.6954
_cell_length_b 5.2015
_cell_length_c 10.3936
_cell_angle_alpha 90.00
_cell_angle_beta 90.00
_cell_angle_gamma 90.00
_symmetry_space_group_name_H-M 'P m m m'
_symmetry_Int_Tables_number 47
loop_
_symmetry_equiv_pos_as_xyz
'x,y,z'
'-x,-y,-z'
'-x,-y,z'
'x,y,-z'
'x,-y,-z'
'-x,y,z'
'-x,y,-z'
'x,-y,z'
loop_
_atom_site_label
_atom_site_type_symbol
_atom_site_fract_x
_atom_site_fract_y
_atom_site_fract_z
Tb1 Tb 0.0000 0.0000 0.0000
Tb2 Tb 0.0000 0.0000 0.5000
Tb3 Tb 0.0000 0.5000 0.2419
Mg1 Mg 0.5000 0.5000 0.5000
Ag1 Ag 0.5000 0.0000 0.2593
Ag2 Ag 0.5000 0.5000 0.0000



[7]
# Tb2Mg3Ag2 | Alexandria via LeMat-Bulk | GGA-PBE | relaxed
# D(E_F): 9.500 states/eV per cell
# uncorrected energy: -3.05 eV/atom
data_Tb2Mg3Ag2
_chemical_formula_sum 'Tb4 Mg6 Ag4'
_cell_length_a 10.2280
_cell_length_b 4.6484
_cell_length_c 7.5170
_cell_angle_alpha 90.00
_cell_angle_beta 112.24
_cell_angle_gamma 90.00
_symmetry_space_group_name_H-M 'C 1 2/m 1'
_symmetry_Int_Tables_number 12
loop_
_symmetry_equiv_pos_as_xyz
'x,y,z'
'-x,-y,-z'
'-x,y,-z'
'x,-y,z'
'x+1/2,y+1/2,z'
'-x+1/2,-y+1/2,-z'
'-x+1/2,y+1/2,-z'
'x+1/2,-y+1/2,z'
loop_
_atom_site_label
_atom_site_type_symbol
_atom_site_fract_x
_atom_site_fract_y
_atom_site_fract_z
Tb1 Tb 0.1376 0.0000 0.2807
Mg1 Mg 0.0000 0.5000 0.5000
Mg2 Mg 0.1277 0.5000 0.9376
Ag1 Ag 0.1536 0.0000 0.7015



[8]
# TbThMgAg | Alexandria via LeMat-Bulk | GGA-PBE | relaxed
# D(E_F): 18.113 states/eV per cell
# uncorrected energy: -4.14 eV/atom
data_TbThMgAg
_chemical_formula_sum 'Tb4 Th4 Mg4 Ag4'
_cell_length_a 7.5224
_cell_length_b 7.5224
_cell_length_c 7.5224
_cell_angle_alpha 90.00
_cell_angle_beta 90.00
_cell_angle_gamma 90.00
_symmetry_space_group_name_H-M 'F -4 3 m'
_symmetry_Int_Tables_number 216
_symmetry_space_group_name_Hall 'F -4 2 3'
loop_
_atom_site_label
_atom_site_type_symbol
_atom_site_fract_x
_atom_site_fract_y
_atom_site_fract_z
Tb1 Tb 0.0000 0.0000 0.0000
Th1 Th 0.0000 0.0000 0.5000
Mg1 Mg 0.2500 0.2500 0.7500
Ag1 Ag 0.2500 0.2500 0.2500



Q: The highest uncorrected energy belongs to which entry?
A: TbMg6Ag2



Q: What is the uncorrected energy in the seventh record?
A: -3.05 eV/atom